## TePPdO2 (GGA-PBE)

Data for crystalline TePPdO2 at its relaxed geometry.

For the total moment, the calculation gives 0.00 μB/f.u. The calculation puts the energy relative to the elements, uncorrected at -0.026 eV/atom. The energy above the most stable polymorph in this dataset comes out at 0.000 eV per atom. The calculation puts the calculated volume at 81.9 Å³/cell.

The structure belongs to space group P4/mmm (No. 123); the cell edges are 3.847, 3.847 and 5.532 Å and the angles 90.00°, 90.00° and 90.00°. The inequivalent atoms are Te at (0.000, 0.000, 0.000), P at (0.000, 0.000, 0.500), Pd at (0.500, 0.500, 0.500) and O at (0.000, 0.500, 0.000).